Compound: Sr3Co2WO9
Source: Alexandria via LeMat-Bulk
Functional: GGA+U
Structure: relaxed

Geometry as CIF:
```
data_Sr3Co2WO9
_chemical_formula_sum 'Sr12 Co8 W4 O36'
_space_group_name_H-M_alt 'I m m m'
_space_group_IT_number 71
_space_group_name_Hall '-I 2 2'
_cell_length_a 5.497
_cell_length_b 8.073
_cell_length_c 16.569
_cell_angle_alpha 90.00
_cell_angle_beta 90.00
_cell_angle_gamma 90.00
loop_
_atom_site_label
_atom_site_fract_x
_atom_site_fract_y
_atom_site_fract_z
Sr1 0.000 0.233 0.000
Sr2 0.000 0.260 0.344
Co1 0.000 0.000 0.163
Co2 0.000 0.000 0.500
Co3 0.000 0.500 0.500
W1 0.000 0.500 0.166
O1 0.000 0.242 0.500
O2 0.000 0.258 0.166
O3 0.249 0.000 0.417
O4 0.249 0.500 0.248
O5 0.249 0.500 0.417
```

## Properties
- M_tot: 19.5 Bohr magnetons per cell
- V: 183.8 Å³/f.u.
- DFT total energy: -6.555 eV/atom